(1)
A plane-wave DFT calculation with GGA-PBE was carried out for a geometry-optimized CaTcOs structure.

Calculated values
DFT formation energy	0.337	eV/atom
space group	I4mm, No. 107
DOS(E_F)	1.310	states/eV/atom
distance to the lowest polymorph of the same formula	0.000	eV/atom
density	9.4	g cm⁻³

abc: 6.526 6.526 6.526
angles: 152.83 152.83 38.80
Element x y z (fractional)
Ca 0.000 0.000 0.000
Tc 0.297 0.297 0.000
Os 0.692 0.692 0.000

---

(2)
A plane-wave DFT calculation with GGA-PBE was carried out for a geometry-optimized CaTcOs2 structure.

Calculated values
DFT formation energy	0.608	eV/atom
space group	P2/m, No. 10
DOS(E_F)	1.039	states/eV/atom
distance to the lowest polymorph of the same formula	0.219	eV/atom
density	12.7	g cm⁻³

abc: 2.797 4.371 5.726
angles: 90.00 103.85 90.00
Element x y z (fractional)
Ca 0.000 0.000 0.000
Tc 0.500 0.000 0.500
Os 0.321 0.500 0.711
Os 0.679 0.500 0.289

---

(3)
A plane-wave DFT calculation with GGA-PBE was carried out for a geometry-optimized CaTcOs2 structure.

Calculated values
DFT formation energy	0.674	eV/atom
space group	Fm-3m, No. 225
DOS(E_F)	1.559	states/eV/atom
distance to the lowest polymorph of the same formula	0.284	eV/atom
density	13.3	g cm⁻³

abc: 4.509 4.509 4.509
angles: 60.00 60.00 60.00
Element x y z (fractional)
Ca 0.000 0.000 0.000
Tc 0.500 0.500 0.500
Os 0.250 0.250 0.250
Os 0.750 0.750 0.750

---

(4)
A plane-wave DFT calculation with GGA-PBE was carried out for a geometry-optimized CaTc2Os structure.

Calculated values
DFT formation energy	0.553	eV/atom
space group	Fm-3m, No. 225
DOS(E_F)	0.957	states/eV/atom
distance to the lowest polymorph of the same formula	0.144	eV/atom
density	11.0	g cm⁻³

abc: 4.494 4.494 4.494
angles: 60.00 60.00 60.00
Element x y z (fractional)
Ca 0.000 0.000 0.000
Tc 0.250 0.250 0.250
Tc 0.750 0.750 0.750
Os 0.500 0.500 0.500

---

(5)
A plane-wave DFT calculation with GGA-PBE was carried out for a geometry-optimized CaTc2Os2 structure.

Calculated values
DFT formation energy	0.140	eV/atom
space group	I4/mmm, No. 139
DOS(E_F)	0.581	states/eV/atom
distance to the lowest polymorph of the same formula	0.000	eV/atom
density	10.8	g cm⁻³

abc: 5.934 5.934 5.934
angles: 137.43 137.43 61.77
Element x y z (fractional)
Ca 0.000 0.000 0.000
Tc 0.250 0.750 0.500
Tc 0.750 0.250 0.500
Os 0.377 0.377 0.000
Os 0.623 0.623 0.000

---

(6)
A plane-wave DFT calculation with GGA-PBE was carried out for a geometry-optimized CaTcOs2 structure.

Calculated values
DFT formation energy	0.833	eV/atom
space group	I-42d, No. 122
DOS(E_F)	1.077	states/eV/atom
distance to the lowest polymorph of the same formula	0.444	eV/atom
density	11.3	g cm⁻³

abc: 5.941 5.941 5.941
angles: 102.21 102.21 125.25
Element x y z (fractional)
Ca 0.000 0.000 0.000
Ca 0.750 0.250 0.500
Tc 0.250 0.750 0.500
Tc 0.500 0.500 0.000
Os 0.182 0.125 0.557
Os 0.375 0.818 0.943
Os 0.568 0.625 0.443
Os 0.875 0.432 0.057

---

(7)
A plane-wave DFT calculation with GGA-PBE was carried out for a geometry-optimized CaTcOs structure.

Calculated values
DFT formation energy	0.588	eV/atom
space group	P3m1, No. 156
DOS(E_F)	0.337	states/eV/atom
distance to the lowest polymorph of the same formula	0.251	eV/atom
density	9.9	g cm⁻³

abc: 4.393 4.393 3.311
angles: 90.00 90.00 120.00
Element x y z (fractional)
Ca 0.000 0.000 0.000
Tc 0.333 0.667 0.571
Os 0.667 0.333 0.440

---

(8)
A plane-wave DFT calculation with GGA-PBE was carried out for a geometry-optimized Ca3TcOs structure.

Calculated values
DFT formation energy	1.137	eV/atom
space group	Pm-3m, No. 221
DOS(E_F)	0.381	states/eV/atom
distance to the lowest polymorph of the same formula	0.000	eV/atom
density	4.3	g cm⁻³

abc: 5.404 5.404 5.404
angles: 90.00 90.00 90.00
Element x y z (fractional)
Ca 0.000 0.000 0.500
Ca 0.000 0.500 0.000
Ca 0.500 0.000 0.000
Tc 0.500 0.500 0.500
Os 0.000 0.000 0.000

---

(9)
A plane-wave DFT calculation with GGA-PBE was carried out for a geometry-optimized CaTcOs2 structure.

Calculated values
DFT formation energy	0.704	eV/atom
space group	Pmmm, No. 47
DOS(E_F)	1.072	states/eV/atom
distance to the lowest polymorph of the same formula	0.315	eV/atom
density	13.3	g cm⁻³

abc: 2.969 4.656 4.672
angles: 90.00 90.00 90.00
Element x y z (fractional)
Ca 0.000 0.000 0.000
Tc 0.500 0.000 0.500
Os 0.000 0.500 0.500
Os 0.500 0.500 0.000

---

(10)
A plane-wave DFT calculation with GGA-PBE was carried out for a geometry-optimized CaTcOs2 structure.

Calculated values
DFT formation energy	0.551	eV/atom
space group	Pm, No. 6
DOS(E_F)	1.256	states/eV/atom
distance to the lowest polymorph of the same formula	0.162	eV/atom
density	12.4	g cm⁻³

abc: 2.865 4.277 5.830
angles: 90.00 104.06 90.00
Element x y z (fractional)
Ca 0.000 0.000 0.000
Tc 0.359 0.500 0.720
Os 0.252 0.000 0.501
Os 0.661 0.500 0.318

---

(11)
A plane-wave DFT calculation with GGA-PBE was carried out for a geometry-optimized CaTcOs2 structure.

Calculated values
DFT formation energy	0.458	eV/atom
space group	P4mm, No. 99
DOS(E_F)	1.301	states/eV/atom
distance to the lowest polymorph of the same formula	0.069	eV/atom
density	12.7	g cm⁻³

abc: 2.790 2.790 8.713
angles: 90.00 90.00 90.00
Element x y z (fractional)
Ca 0.000 0.000 0.000
Tc 0.500 0.500 0.705
Os 0.000 0.000 0.478
Os 0.500 0.500 0.280

---

(12)
A plane-wave DFT calculation with GGA-PBE was carried out for a geometry-optimized Ca4TcOs structure.

Calculated values
DFT formation energy	1.413	eV/atom
space group	F-43m, No. 216
DOS(E_F)	0.929	states/eV/atom
density	5.1	g cm⁻³

abc: 5.919 5.919 5.919
angles: 60.00 60.00 60.00
Element x y z (fractional)
Ca 0.124 0.124 0.124
Ca 0.124 0.124 0.627
Ca 0.124 0.627 0.124
Ca 0.627 0.124 0.124
Tc 0.500 0.500 0.500
Os 0.750 0.750 0.750

---

(13)
A plane-wave DFT calculation with GGA-PBE was carried out for a geometry-optimized CaTc2Os structure.

Calculated values
DFT formation energy	0.651	eV/atom
space group	Pmmm, No. 47
DOS(E_F)	0.980	states/eV/atom
distance to the lowest polymorph of the same formula	0.242	eV/atom
density	10.9	g cm⁻³

abc: 3.074 4.590 4.621
angles: 90.00 90.00 90.00
Element x y z (fractional)
Ca 0.000 0.000 0.000
Tc 0.000 0.500 0.500
Tc 0.500 0.000 0.500
Os 0.500 0.500 0.000

---

(14)
A plane-wave DFT calculation with GGA-PBE was carried out for a geometry-optimized CaTc2Os structure.

Calculated values
DFT formation energy	0.862	eV/atom
space group	P4/mmm, No. 123
DOS(E_F)	1.410	states/eV/atom
distance to the lowest polymorph of the same formula	0.453	eV/atom
density	10.6	g cm⁻³

abc: 3.940 3.940 4.307
angles: 90.00 90.00 90.00
Element x y z (fractional)
Ca 0.000 0.000 0.000
Tc 0.000 0.500 0.500
Tc 0.500 0.000 0.500
Os 0.500 0.500 0.000

---

(15)
A plane-wave DFT calculation with GGA-PBE was carried out for a geometry-optimized CaTcOs structure.

Calculated values
DFT formation energy	0.640	eV/atom
space group	P3m1, No. 156
DOS(E_F)	1.117	states/eV/atom
distance to the lowest polymorph of the same formula	0.303	eV/atom
density	10.4	g cm⁻³

abc: 2.901 2.901 7.226
angles: 90.00 90.00 120.00
Element x y z (fractional)
Ca 0.000 0.000 0.000
Tc 0.333 0.667 0.633
Os 0.667 0.333 0.357

---

(16)
A plane-wave DFT calculation with GGA-PBE was carried out for a geometry-optimized CaTc2Os structure.

Calculated values
DFT formation energy	0.596	eV/atom
space group	P2/m, No. 10
DOS(E_F)	1.175	states/eV/atom
distance to the lowest polymorph of the same formula	0.187	eV/atom
density	10.5	g cm⁻³

abc: 2.812 4.408 5.492
angles: 90.00 99.43 90.00
Element x y z (fractional)
Ca 0.000 0.000 0.000
Tc 0.259 0.500 0.718
Tc 0.741 0.500 0.282
Os 0.500 0.000 0.500

---

(17)
A plane-wave DFT calculation with GGA-PBE was carried out for a geometry-optimized CaTc2Os structure.

Calculated values
DFT formation energy	0.470	eV/atom
space group	C2/m, No. 12
DOS(E_F)	1.235	states/eV/atom
distance to the lowest polymorph of the same formula	0.061	eV/atom
density	10.2	g cm⁻³

abc: 5.408 5.408 4.889
angles: 107.39 107.39 30.80
Element x y z (fractional)
Ca 0.000 0.000 0.000
Tc 0.217 0.217 0.700
Tc 0.783 0.783 0.300
Os 0.500 0.500 0.500

---

(18)
A plane-wave DFT calculation with GGA-PBE was carried out for a geometry-optimized CaTcOs structure.

Calculated values
DFT formation energy	2.131	eV/atom
space group	F-43m, No. 216
DOS(E_F)	1.403	states/eV/atom
distance to the lowest polymorph of the same formula	1.794	eV/atom
density	8.7	g cm⁻³

abc: 4.462 4.462 4.462
angles: 60.00 60.00 60.00
Element x y z (fractional)
Ca 0.000 0.000 0.000
Tc 0.250 0.250 0.250
Os 0.750 0.750 0.750

---

(19)
A plane-wave DFT calculation with GGA-PBE was carried out for a geometry-optimized CaTc2Os structure.

Calculated values
DFT formation energy	0.504	eV/atom
space group	Pm, No. 6
DOS(E_F)	1.142	states/eV/atom
distance to the lowest polymorph of the same formula	0.094	eV/atom
density	10.0	g cm⁻³

abc: 2.863 4.218 6.023
angles: 90.00 103.62 90.00
Element x y z (fractional)
Ca 0.000 0.000 0.000
Tc 0.249 0.000 0.498
Tc 0.355 0.500 0.709
Os 0.661 0.500 0.319

---

(20)
A plane-wave DFT calculation with GGA-PBE was carried out for a geometry-optimized CaTc2Os structure.

Calculated values
DFT formation energy	0.464	eV/atom
space group	P4/mmm, No. 123
DOS(E_F)	1.368	states/eV/atom
distance to the lowest polymorph of the same formula	0.054	eV/atom
density	10.3	g cm⁻³

abc: 2.794 2.794 8.771
angles: 90.00 90.00 90.00
Element x y z (fractional)
Ca 0.000 0.000 0.000
Tc 0.500 0.500 0.290
Tc 0.500 0.500 0.710
Os 0.000 0.000 0.500